Density functional theory data (GGA-PBE) for an optimized crystal structure of CaNi2Rh.

Computed properties:
ΔH_f (0 K) = 81 meV per atom
size of the total moment = 1.49 μB per formula unit

abc: 3.048 3.048 6.739
angles: 90.00 90.00 90.00
Fractional positions:
Ca  0.000  0.000  0.000
Ni  0.000  0.000  0.480
Ni  0.500  0.500  0.307
Rh  0.500  0.500  0.690



Density functional theory data (GGA-PBE) for an optimized crystal structure of CaNi2Rh.

Computed properties:
ΔH_f (0 K) = 85 meV per atom
size of the total moment = 0.00 μB per formula unit

abc: 4.608 4.608 2.853
angles: 90.00 90.00 104.06
Fractional positions:
Ca  0.000  0.000  0.000
Ni  0.000  0.500  0.500
Ni  0.500  0.000  0.500
Rh  0.500  0.500  0.000



Density functional theory data (GGA-PBE) for an optimized crystal structure of Ca4NiRh.

Computed properties:
ΔH_f (0 K) = 829 meV per atom
size of the total moment = 0.00 μB per formula unit

abc: 6.077 6.077 6.077
angles: 60.00 60.00 60.00
Fractional positions:
Ca  0.125  0.125  0.125
Ca  0.125  0.125  0.624
Ca  0.125  0.624  0.125
Ca  0.624  0.125  0.125
Ni  0.750  0.750  0.750
Rh  0.500  0.500  0.500



Density functional theory data (GGA-PBE) for an optimized crystal structure of CaNi2Rh.

Computed properties:
ΔH_f (0 K) = 243 meV per atom
size of the total moment = 0.00 μB per formula unit

abc: 8.967 8.967 8.967
angles: 152.04 152.04 39.95
Fractional positions:
Ca  0.000  0.000  0.000
Ca  0.750  0.250  0.500
Ni  0.304  0.625  0.179
Ni  0.375  0.554  0.679
Ni  0.446  0.125  0.821
Ni  0.875  0.696  0.321
Rh  0.250  0.750  0.500
Rh  0.500  0.500  0.000



Density functional theory data (GGA-PBE) for an optimized crystal structure of CaNi2Rh.

Computed properties:
ΔH_f (0 K) = 79 meV per atom
size of the total moment = 0.07 μB per formula unit

abc: 2.804 3.654 6.111
angles: 90.00 90.16 90.00
Fractional positions:
Ca  0.000  0.000  0.000
Ni  0.500  0.500  0.305
Ni  0.500  0.500  0.695
Rh  0.000  0.000  0.500



Density functional theory data (GGA-PBE) for an optimized crystal structure of Ca3NiRh.

Computed properties:
ΔH_f (0 K) = 193 meV per atom
energy relative to the lowest polymorph listed for this composition = 0.00 kJ per mole of atoms
size of the total moment = 0.00 μB per formula unit

abc: 5.335 5.335 5.335
angles: 90.00 90.00 90.00
Fractional positions:
Ca  0.000  0.000  0.500
Ca  0.000  0.500  0.000
Ca  0.500  0.000  0.000
Ni  0.500  0.500  0.500
Rh  0.000  0.000  0.000



Density functional theory data (GGA-PBE) for an optimized crystal structure of CaNi4Rh.

Computed properties:
ΔH_f (0 K) = -6 meV per atom
size of the total moment = 2.61 μB per formula unit

abc: 4.884 4.884 4.884
angles: 60.00 60.00 60.00
Fractional positions:
Ca  0.000  0.000  0.000
Ni  0.127  0.624  0.624
Ni  0.624  0.127  0.624
Ni  0.624  0.624  0.127
Ni  0.624  0.624  0.624
Rh  0.250  0.250  0.250



Density functional theory data (GGA-PBE) for an optimized crystal structure of CaNi3Rh.

Computed properties:
ΔH_f (0 K) = 1637 meV per atom
energy relative to the lowest polymorph listed for this composition = 107.00 kJ per mole of atoms
size of the total moment = 1.26 μB per formula unit

abc: 4.395 4.395 4.395
angles: 90.00 90.00 90.00
Fractional positions:
Ca  0.000  0.000  0.000
Ni  0.000  0.000  0.500
Ni  0.000  0.500  0.000
Ni  0.500  0.000  0.000
Rh  0.500  0.500  0.500



Density functional theory data (GGA-PBE) for an optimized crystal structure of CaNi2Rh.

Computed properties:
ΔH_f (0 K) = 140 meV per atom
size of the total moment = 1.22 μB per formula unit

abc: 4.789 4.789 4.789
angles: 131.17 131.17 71.54
Fractional positions:
Ca  0.000  0.000  0.000
Ni  0.250  0.750  0.500
Ni  0.500  0.500  0.000
Rh  0.750  0.250  0.500



Density functional theory data (GGA-PBE) for an optimized crystal structure of CaNi2Rh.

Computed properties:
ΔH_f (0 K) = -123 meV per atom
size of the total moment = 0.65 μB per formula unit

abc: 5.382 5.382 5.382
angles: 45.70 45.70 45.70
Fractional positions:
Ca  0.000  0.000  0.000
Ni  0.190  0.190  0.190
Ni  0.810  0.810  0.810
Rh  0.500  0.500  0.500



Density functional theory data (GGA-PBE) for an optimized crystal structure of CaNi3Rh.

Computed properties:
ΔH_f (0 K) = 528 meV per atom
energy relative to the lowest polymorph listed for this composition = 0.00 kJ per mole of atoms
size of the total moment = 3.07 μB per formula unit

abc: 4.598 4.598 4.598
angles: 90.00 90.00 90.00
Fractional positions:
Ca  0.000  0.000  0.000
Ni  0.000  0.500  0.500
Ni  0.500  0.000  0.500
Ni  0.500  0.500  0.000
Rh  0.500  0.500  0.500



Density functional theory data (GGA-PBE) for an optimized crystal structure of Ca2NiRh2.

Computed properties:
ΔH_f (0 K) = -219 meV per atom
size of the total moment = 0.00 μB per formula unit

abc: 6.573 6.573 4.470
angles: 90.00 90.00 90.00
Fractional positions:
Ca  0.178  0.322  0.000
Ca  0.322  0.822  0.000
Ca  0.678  0.178  0.000
Ca  0.822  0.678  0.000
Ni  0.000  0.000  0.500
Ni  0.500  0.500  0.500
Rh  0.137  0.637  0.500
Rh  0.363  0.137  0.500
Rh  0.637  0.863  0.500
Rh  0.863  0.363  0.500



What did the third record say?
Density functional theory data (GGA-PBE) for an optimized crystal structure of Ca4NiRh.

Computed properties:
ΔH_f (0 K) = 829 meV per atom
size of the total moment = 0.00 μB per formula unit

abc: 6.077 6.077 6.077
angles: 60.00 60.00 60.00
Fractional positions:
Ca  0.125  0.125  0.125
Ca  0.125  0.125  0.624
Ca  0.125  0.624  0.125
Ca  0.624  0.125  0.125
Ni  0.750  0.750  0.750
Rh  0.500  0.500  0.500



> Look up the size of the total moment of the first one.

1.49 μB per formula unit



> Which of these has the highest size of the total moment?

number 11



> Look up the ΔH_f (0 K) of the eleventh one.

528 meV per atom